No. 1
DFT (PBE-GGA) results for an optimized crystal structure of K2BePb.

```
K2BePb
1.0
0.000 3.859 3.859
3.859 0.000 3.859
3.859 3.859 0.000
K Be Pb
2 1 1
Direct
0.000 0.000 0.000 K
0.250 0.250 0.250 K
0.500 0.500 0.500 Be
0.750 0.750 0.750 Pb
```

- E_tot (eV per atom) = -1.9920
- ΔH_f (0 K) (meV per atom) = 415


No. 2
DFT (PBE-GGA) results for an optimized crystal structure of AsC2.

```
AsC2
1.0
2.562 0.000 0.000
0.004 2.790 0.000
0.378 1.076 8.972
As C
1 2
Direct
0.000 0.000 0.000 As
0.038 0.673 0.507 C
0.538 0.673 0.507 C
```

- E_tot (eV per atom) = -6.7759
- ΔH_f (0 K) (meV per atom) = 923


No. 3
DFT (PBE-GGA) results for an optimized crystal structure of Au2SeCl.

```
Au2SeCl
1.0
-2.697 2.697 2.794
2.697 -2.697 2.794
2.697 2.697 -2.794
Au Se Cl
2 1 1
Direct
0.250 0.750 0.500 Au
0.750 0.250 0.500 Au
0.000 0.000 0.000 Se
0.500 0.500 0.000 Cl
```

- raw formation energy (eV per atom) = 0.39
- E_tot (eV per atom) = -2.5779


The lowest E_tot belongs to which entry?
AsC2


E_tot of number 3 (Au2SeCl)?
-2.5779 eV per atom